Ta3Re2, relaxed, DFT PBE; M_tot = 0.01 μB/cell; crystal system = tetragonal; space-group type = P4_2/mnm; formation energy = 0.27 eV per formula unit; distance to the lowest polymorph of the same formula = 0.196 eV per atom
1.0
-5.002 4.756 -7.123
-7.319 -6.658 0.694
-2.327 2.933 3.593
Ta Re
18 12
Direct
0.315 0.685 0.750
0.685 0.315 0.250
0.815 0.815 0.250
0.185 0.185 0.750
0.315 0.685 0.250
0.685 0.315 0.750
0.064 0.731 0.000
0.269 0.936 0.000
0.564 0.769 0.500
0.185 0.185 0.250
0.500 0.500 0.500
0.936 0.269 0.000
0.731 0.064 0.000
0.000 0.000 0.000
0.436 0.231 0.500
0.815 0.815 0.750
0.769 0.564 0.500
0.231 0.436 0.500
0.900 0.100 0.500
0.135 0.464 0.000
0.536 0.865 0.000
0.600 0.600 0.000
0.365 0.964 0.500
0.865 0.536 0.000
0.464 0.135 0.000
0.635 0.036 0.500
0.036 0.635 0.500
0.100 0.900 0.500
0.400 0.400 0.000
0.964 0.365 0.500